LaCe2TmSe5 | GGA-PBE | relaxed

```
LaCe2TmSe5
1.0
-2.041 3.449 3.121
-3.603 0.982 -3.443
-6.397 -7.824 4.463
Ce Se Tm La
2 5 1 1
Direct
0.500 0.500 0.313
0.500 0.500 0.687
0.000 0.000 0.252
0.000 0.500 0.500
0.500 0.000 0.500
0.000 0.000 0.748
0.500 0.500 0.000
0.000 0.000 0.500
0.000 0.000 0.000
```

* total DFT energy (no corrections): -5.7038 eV/atom
* calculated density: 5.7 Mg/m³
* symmetry: P4/mmm (123)
* energy relative to the elements, uncorrected: -1.405 eV/atom